[1]
# LaSnW3 (PBEsol, optimized geometry)
data_LaSnW3
_space_group_name_H-M_alt 'P 1'
_space_group_IT_number 1
_space_group_name_Hall 'P 1'
_cell_length_a 4.949
_cell_length_b 4.949
_cell_length_c 4.949
_cell_angle_alpha 90.00
_cell_angle_beta 90.00
_cell_angle_gamma 90.00
loop_
_atom_site_label
_atom_site_type_symbol
_atom_site_fract_x
_atom_site_fract_y
_atom_site_fract_z
Sn1 Sn 0.000 0.000 0.000
W1 W 0.000 0.500 0.000
W2 W 0.000 0.000 0.500
W3 W 0.500 0.000 0.000
La1 La 0.500 0.500 0.500
# **Symmetry**: Pm-3m
# **Formation energy**: 2.129 eV/atom
# **M_tot**: 0.00 μB per formula unit

=====

[2]
# YTaPb2 (PBEsol, optimized geometry)
data_YTaPb2
_space_group_name_H-M_alt 'P 1'
_space_group_IT_number 1
_space_group_name_Hall 'P 1'
_cell_length_a 5.084
_cell_length_b 5.084
_cell_length_c 5.084
_cell_angle_alpha 60.00
_cell_angle_beta 60.00
_cell_angle_gamma 60.00
loop_
_atom_site_label
_atom_site_type_symbol
_atom_site_fract_x
_atom_site_fract_y
_atom_site_fract_z
Pb1 Pb 0.250 0.250 0.250
Pb2 Pb 0.750 0.750 0.750
Ta1 Ta 0.000 0.000 0.000
Y1 Y 0.500 0.500 0.500
# **Symmetry**: Fm-3m
# **Formation energy**: 0.212 eV/atom
# **M_tot**: 0.01 μB per formula unit

=====

[3]
# ZrTcMo2 (PBEsol, optimized geometry)
data_ZrTcMo2
_space_group_name_H-M_alt 'P 1'
_space_group_IT_number 1
_space_group_name_Hall 'P 1'
_cell_length_a 3.171
_cell_length_b 3.171
_cell_length_c 6.439
_cell_angle_alpha 90.00
_cell_angle_beta 90.00
_cell_angle_gamma 90.00
loop_
_atom_site_label
_atom_site_type_symbol
_atom_site_fract_x
_atom_site_fract_y
_atom_site_fract_z
Mo1 Mo 0.000 0.000 0.016
Mo2 Mo 0.500 0.500 0.251
Tc1 Tc 0.000 0.000 0.485
Zr1 Zr 0.500 0.500 0.747
# **Symmetry**: P4mm
# **Formation energy**: -0.099 eV/atom
# **M_tot**: 0.00 μB per formula unit

=====

[4]
# Sm3S3N (PBEsol, optimized geometry)
data_Sm3S3N
_space_group_name_H-M_alt 'P 1'
_space_group_IT_number 1
_space_group_name_Hall 'P 1'
_cell_length_a 3.921
_cell_length_b 11.968
_cell_length_c 12.766
_cell_angle_alpha 90.00
_cell_angle_beta 90.00
_cell_angle_gamma 90.00
loop_
_atom_site_label
_atom_site_type_symbol
_atom_site_fract_x
_atom_site_fract_y
_atom_site_fract_z
Sm1 Sm 0.750 0.958 0.852
Sm2 Sm 0.250 0.042 0.148
Sm3 Sm 0.750 0.458 0.648
Sm4 Sm 0.250 0.542 0.352
Sm5 Sm 0.750 0.779 0.135
Sm6 Sm 0.250 0.221 0.865
Sm7 Sm 0.750 0.279 0.365
Sm8 Sm 0.250 0.721 0.635
Sm9 Sm 0.750 0.420 0.128
Sm10 Sm 0.250 0.580 0.872
Sm11 Sm 0.750 0.920 0.372
Sm12 Sm 0.250 0.080 0.628
S1 S 0.250 0.771 0.304
S2 S 0.250 0.585 0.107
S3 S 0.750 0.915 0.607
S4 S 0.750 0.415 0.893
S5 S 0.750 0.638 0.504
S6 S 0.250 0.362 0.496
S7 S 0.750 0.138 0.996
S8 S 0.250 0.862 0.004
S9 S 0.750 0.229 0.696
S10 S 0.250 0.271 0.196
S11 S 0.750 0.729 0.804
S12 S 0.250 0.085 0.393
N1 N 0.250 0.544 0.702
N2 N 0.750 0.956 0.202
N3 N 0.250 0.044 0.798
N4 N 0.750 0.456 0.298
# **Symmetry**: Pnma
# **VASP energy**: -7.290 eV/atom
# **M_tot**: 0.00 μB per formula unit

=====

[5]
# NiBiNF2 (PBEsol, optimized geometry)
data_NiBiNF2
_space_group_name_H-M_alt 'P 1'
_space_group_IT_number 1
_space_group_name_Hall 'P 1'
_cell_length_a 4.424
_cell_length_b 4.396
_cell_length_c 4.396
_cell_angle_alpha 90.00
_cell_angle_beta 90.00
_cell_angle_gamma 90.00
loop_
_atom_site_label
_atom_site_type_symbol
_atom_site_fract_x
_atom_site_fract_y
_atom_site_fract_z
Ni1 Ni 0.500 0.500 0.500
N1 N 0.500 0.000 0.000
Bi1 Bi 0.000 0.000 0.000
F1 F 0.000 0.000 0.500
F2 F 0.000 0.500 0.000
# **Symmetry**: P4/mmm
# **VASP energy**: -4.486 eV/atom
# **M_tot**: 1.26 μB per formula unit

=====

[6]
# Mg2TcHg (PBEsol, optimized geometry)
data_Mg2TcHg
_space_group_name_H-M_alt 'P 1'
_space_group_IT_number 1
_space_group_name_Hall 'P 1'
_cell_length_a 2.856
_cell_length_b 4.298
_cell_length_c 5.727
_cell_angle_alpha 90.00
_cell_angle_beta 90.00
_cell_angle_gamma 90.00
loop_
_atom_site_label
_atom_site_type_symbol
_atom_site_fract_x
_atom_site_fract_y
_atom_site_fract_z
Hg1 Hg 0.500 0.500 0.750
Mg1 Mg 0.000 0.000 0.993
Mg2 Mg 0.500 0.500 0.274
Tc1 Tc 0.000 0.000 0.484
# **Symmetry**: Pmm2
# **Formation energy**: 0.226 eV/atom
# **M_tot**: 0.00 μB per formula unit

=====

[7]
# ScCoTc2 (PBEsol, optimized geometry)
data_ScCoTc2
_space_group_name_H-M_alt 'P 1'
_space_group_IT_number 1
_space_group_name_Hall 'P 1'
_cell_length_a 3.036
_cell_length_b 3.036
_cell_length_c 6.281
_cell_angle_alpha 90.00
_cell_angle_beta 90.00
_cell_angle_gamma 90.00
loop_
_atom_site_label
_atom_site_type_symbol
_atom_site_fract_x
_atom_site_fract_y
_atom_site_fract_z
Co1 Co 0.000 0.000 0.484
Sc1 Sc 0.500 0.500 0.738
Tc1 Tc 0.000 0.000 0.028
Tc2 Tc 0.500 0.500 0.251
# **Symmetry**: P4mm
# **Formation energy**: -0.055 eV/atom
# **M_tot**: 1.75 μB per formula unit

=====

[8]
# Ca2TlHg (PBEsol, optimized geometry)
data_Ca2TlHg
_space_group_name_H-M_alt 'P 1'
_space_group_IT_number 1
_space_group_name_Hall 'P 1'
_cell_length_a 5.298
_cell_length_b 5.298
_cell_length_c 5.298
_cell_angle_alpha 60.00
_cell_angle_beta 60.00
_cell_angle_gamma 60.00
loop_
_atom_site_label
_atom_site_type_symbol
_atom_site_fract_x
_atom_site_fract_y
_atom_site_fract_z
Tl1 Tl 0.250 0.250 0.250
Ca1 Ca 0.000 0.000 0.000
Ca2 Ca 0.750 0.750 0.750
Hg1 Hg 0.500 0.500 0.500
# **Symmetry**: F-43m
# **Formation energy**: -0.280 eV/atom
# **M_tot**: 0.00 μB per formula unit

=====

[9]
# MgVGe2O6 (PBEsol, optimized geometry)
data_MgVGe2O6
_space_group_name_H-M_alt 'P 1'
_space_group_IT_number 1
_space_group_name_Hall 'P 1'
_cell_length_a 5.209
_cell_length_b 6.583
_cell_length_c 6.583
_cell_angle_alpha 85.49
_cell_angle_beta 82.26
_cell_angle_gamma 82.26
loop_
_atom_site_label
_atom_site_type_symbol
_atom_site_fract_x
_atom_site_fract_y
_atom_site_fract_z
Mg1 Mg 0.750 0.272 0.728
Mg2 Mg 0.250 0.728 0.272
V1 V 0.750 0.912 0.088
V2 V 0.250 0.088 0.912
Ge1 Ge 0.701 0.793 0.599
Ge2 Ge 0.799 0.401 0.207
Ge3 Ge 0.299 0.207 0.401
Ge4 Ge 0.201 0.599 0.793
O1 O 0.889 0.566 0.708
O2 O 0.611 0.292 0.434
O3 O 0.111 0.434 0.292
O4 O 0.389 0.708 0.566
O5 O 0.379 0.366 0.864
O6 O 0.121 0.136 0.634
O7 O 0.621 0.634 0.136
O8 O 0.879 0.864 0.366
O9 O 0.628 0.977 0.793
O10 O 0.872 0.207 0.023
O11 O 0.372 0.023 0.207
O12 O 0.128 0.793 0.977
# **Symmetry**: C2/c
# **VASP energy**: -7.194 eV/atom
# **M_tot**: 2.68 μB per formula unit

=====

[10]
# Fe3BiSe (PBEsol, optimized geometry)
data_Fe3BiSe
_space_group_name_H-M_alt 'P 1'
_space_group_IT_number 1
_space_group_name_Hall 'P 1'
_cell_length_a 4.913
_cell_length_b 4.913
_cell_length_c 4.913
_cell_angle_alpha 90.00
_cell_angle_beta 90.00
_cell_angle_gamma 90.00
loop_
_atom_site_label
_atom_site_type_symbol
_atom_site_fract_x
_atom_site_fract_y
_atom_site_fract_z
Bi1 Bi 0.000 0.000 0.000
Se1 Se 0.500 0.500 0.500
Fe1 Fe 0.000 0.500 0.000
Fe2 Fe 0.000 0.000 0.500
Fe3 Fe 0.500 0.000 0.000
# **Symmetry**: Pm-3m
# **VASP energy**: -5.330 eV/atom
# **M_tot**: 9.91 μB per formula unit

=====

[11]
# CdCuPt (PBEsol, optimized geometry)
data_CdCuPt
_space_group_name_H-M_alt 'P 1'
_space_group_IT_number 1
_space_group_name_Hall 'P 1'
_cell_length_a 2.937
_cell_length_b 2.937
_cell_length_c 5.627
_cell_angle_alpha 105.13
_cell_angle_beta 105.13
_cell_angle_gamma 90.00
loop_
_atom_site_label
_atom_site_type_symbol
_atom_site_fract_x
_atom_site_fract_y
_atom_site_fract_z
Pt1 Pt 0.679 0.679 0.358
Cu1 Cu 0.326 0.326 0.652
Cd1 Cd 0.995 0.995 0.990
# **Symmetry**: I4mm
# **Formation energy**: -0.135 eV/atom
# **M_tot**: 0.00 μB per formula unit

=====

[12]
# ZnSnP2O7 (PBEsol, optimized geometry)
data_ZnSnP2O7
_space_group_name_H-M_alt 'P 1'
_space_group_IT_number 1
_space_group_name_Hall 'P 1'
_cell_length_a 6.882
_cell_length_b 6.899
_cell_length_c 7.183
_cell_angle_alpha 68.97
_cell_angle_beta 83.39
_cell_angle_gamma 73.52
loop_
_atom_site_label
_atom_site_type_symbol
_atom_site_fract_x
_atom_site_fract_y
_atom_site_fract_z
Zn1 Zn 0.208 0.958 0.578
Zn2 Zn 0.792 0.042 0.422
Sn1 Sn 0.283 0.277 0.891
Sn2 Sn 0.717 0.723 0.109
P1 P 0.820 0.194 0.795
P2 P 0.180 0.806 0.205
P3 P 0.373 0.334 0.330
P4 P 0.627 0.666 0.670
O1 O 0.308 0.574 0.343
O2 O 0.692 0.426 0.657
O3 O 0.972 0.223 0.911
O4 O 0.028 0.777 0.089
O5 O 0.401 0.704 0.727
O6 O 0.599 0.296 0.273
O7 O 0.663 0.813 0.458
O8 O 0.337 0.187 0.542
O9 O 0.081 0.915 0.362
O10 O 0.919 0.085 0.638
O11 O 0.337 0.919 0.077
O12 O 0.663 0.081 0.923
O13 O 0.762 0.676 0.818
O14 O 0.238 0.324 0.182
# **Symmetry**: P-1
# **VASP energy**: -6.856 eV/atom
# **M_tot**: 0.00 μB per formula unit

=====

[13]
# Tl2SbBr (PBEsol, optimized geometry)
data_Tl2SbBr
_space_group_name_H-M_alt 'P 1'
_space_group_IT_number 1
_space_group_name_Hall 'P 1'
_cell_length_a 3.532
_cell_length_b 5.429
_cell_length_c 6.249
_cell_angle_alpha 90.00
_cell_angle_beta 90.00
_cell_angle_gamma 90.00
loop_
_atom_site_label
_atom_site_type_symbol
_atom_site_fract_x
_atom_site_fract_y
_atom_site_fract_z
Sb1 Sb 0.866 0.500 0.500
Tl1 Tl 0.886 0.500 0.000
Tl2 Tl 0.363 0.000 0.500
Br1 Br 0.386 0.000 0.000
# **Symmetry**: Pmm2
# **VASP energy**: -3.160 eV/atom
# **M_tot**: 0.00 μB per formula unit

=====

[14]
# MnTc2Ru (PBEsol, optimized geometry)
data_MnTc2Ru
_space_group_name_H-M_alt 'P 1'
_space_group_IT_number 1
_space_group_name_Hall 'P 1'
_cell_length_a 2.797
_cell_length_b 4.389
_cell_length_c 4.389
_cell_angle_alpha 90.00
_cell_angle_beta 90.00
_cell_angle_gamma 90.00
loop_
_atom_site_label
_atom_site_type_symbol
_atom_site_fract_x
_atom_site_fract_y
_atom_site_fract_z
Mn1 Mn 0.500 0.500 0.500
Ru1 Ru 0.500 0.000 0.000
Tc1 Tc 0.000 0.000 0.500
Tc2 Tc 0.000 0.500 0.000
# **Symmetry**: P4/mmm
# **Formation energy**: 0.320 eV/atom
# **M_tot**: 2.50 μB per formula unit

=====

[15]
# IrPbSe3 (PBEsol, optimized geometry)
data_IrPbSe3
_space_group_name_H-M_alt 'P 1'
_space_group_IT_number 1
_space_group_name_Hall 'P 1'
_cell_length_a 5.232
_cell_length_b 5.232
_cell_length_c 5.232
_cell_angle_alpha 90.00
_cell_angle_beta 90.00
_cell_angle_gamma 90.00
loop_
_atom_site_label
_atom_site_type_symbol
_atom_site_fract_x
_atom_site_fract_y
_atom_site_fract_z
Pb1 Pb 0.000 0.000 0.000
Ir1 Ir 0.500 0.500 0.500
Se1 Se 0.000 0.500 0.000
Se2 Se 0.000 0.000 0.500
Se3 Se 0.500 0.000 0.000
# **Symmetry**: Pm-3m
# **VASP energy**: -3.369 eV/atom
# **M_tot**: 2.98 μB per formula unit

=====

[16]
# Cr2FeHg (PBEsol, optimized geometry)
data_Cr2FeHg
_space_group_name_H-M_alt 'P 1'
_space_group_IT_number 1
_space_group_name_Hall 'P 1'
_cell_length_a 2.639
_cell_length_b 2.639
_cell_length_c 8.280
_cell_angle_alpha 90.00
_cell_angle_beta 90.00
_cell_angle_gamma 110.39
loop_
_atom_site_label
_atom_site_type_symbol
_atom_site_fract_x
_atom_site_fract_y
_atom_site_fract_z
Cr1 Cr 0.000 0.000 0.962
Cr2 Cr 0.500 0.500 0.753
Fe1 Fe 0.000 0.000 0.533
Hg1 Hg 0.500 0.500 0.252
# **Symmetry**: Cmm2
# **Formation energy**: 0.454 eV/atom
# **M_tot**: 2.09 μB per formula unit

=====

[17]
# YSb2As (PBEsol, optimized geometry)
data_YSb2As
_space_group_name_H-M_alt 'P 1'
_space_group_IT_number 1
_space_group_name_Hall 'P 1'
_cell_length_a 4.083
_cell_length_b 4.267
_cell_length_c 5.966
_cell_angle_alpha 106.39
_cell_angle_beta 90.00
_cell_angle_gamma 90.00
loop_
_atom_site_label
_atom_site_type_symbol
_atom_site_fract_x
_atom_site_fract_y
_atom_site_fract_z
Y1 Y 0.500 0.500 0.500
Sb1 Sb 0.000 0.939 0.247
Sb2 Sb 0.000 0.061 0.753
As1 As 0.500 0.500 0.000
# **Symmetry**: P2/m
# **VASP energy**: -5.745 eV/atom
# **M_tot**: 0.00 μB per formula unit

=====

[18]
# K5NaNi5P8O28 (PBEsol, optimized geometry)
data_K5NaNi5P8O28
_space_group_name_H-M_alt 'P 1'
_space_group_IT_number 1
_space_group_name_Hall 'P 1'
_cell_length_a 7.135
_cell_length_b 9.254
_cell_length_c 10.082
_cell_angle_alpha 70.28
_cell_angle_beta 89.37
_cell_angle_gamma 76.30
loop_
_atom_site_label
_atom_site_type_symbol
_atom_site_fract_x
_atom_site_fract_y
_atom_site_fract_z
K1 K 0.999 0.551 0.168
K2 K 0.007 0.454 0.815
K3 K 0.038 0.799 0.430
K4 K 0.939 0.185 0.589
K5 K 0.490 0.001 0.501
Na1 Na 0.443 0.632 0.674
Ni1 Ni 0.999 0.000 0.003
Ni2 Ni 0.356 0.041 0.873
Ni3 Ni 0.639 0.959 0.119
Ni4 Ni 0.493 0.504 0.003
Ni5 Ni 0.577 0.378 0.313
P1 P 0.256 0.189 0.125
P2 P 0.741 0.811 0.876
P3 P 0.850 0.188 0.222
P4 P 0.144 0.815 0.784
P5 P 0.666 0.654 0.389
P6 P 0.354 0.342 0.597
P7 P 0.357 0.742 0.174
P8 P 0.640 0.261 0.837
O1 O 0.435 0.718 0.332
O2 O 0.572 0.294 0.675
O3 O 0.074 0.193 0.233
O4 O 0.919 0.809 0.769
O5 O 0.678 0.676 0.531
O6 O 0.395 0.319 0.454
O7 O 0.731 0.480 0.395
O8 O 0.255 0.509 0.588
O9 O 0.730 0.359 0.144
O10 O 0.255 0.648 0.874
O11 O 0.768 0.760 0.278
O12 O 0.252 0.220 0.689
O13 O 0.174 0.146 0.006
O14 O 0.820 0.861 0.992
O15 O 0.841 0.067 0.152
O16 O 0.146 0.942 0.851
O17 O 0.785 0.143 0.373
O18 O 0.200 0.866 0.632
O19 O 0.424 0.063 0.220
O20 O 0.570 0.932 0.780
O21 O 0.281 0.357 0.075
O22 O 0.718 0.641 0.932
O23 O 0.457 0.852 0.064
O24 O 0.534 0.145 0.935
O25 O 0.141 0.806 0.167
O26 O 0.856 0.194 0.843
O27 O 0.413 0.571 0.168
O28 O 0.588 0.422 0.854
# **Symmetry**: P1
# **VASP energy**: -6.842 eV/atom
# **M_tot**: 10.00 μB per formula unit

=====

[19]
# Cd2PbAu (PBEsol, optimized geometry)
data_Cd2PbAu
_space_group_name_H-M_alt 'P 1'
_space_group_IT_number 1
_space_group_name_Hall 'P 1'
_cell_length_a 3.284
_cell_length_b 3.284
_cell_length_c 8.164
_cell_angle_alpha 90.00
_cell_angle_beta 90.00
_cell_angle_gamma 90.00
loop_
_atom_site_label
_atom_site_type_symbol
_atom_site_fract_x
_atom_site_fract_y
_atom_site_fract_z
Pb1 Pb 0.000 0.000 0.524
Au1 Au 0.500 0.500 0.775
Cd1 Cd 0.000 0.000 0.981
Cd2 Cd 0.500 0.500 0.221
# **Symmetry**: P4mm
# **Formation energy**: -0.009 eV/atom
# **M_tot**: 0.00 μB per formula unit

=====

[20]
# Be2RhPb (PBEsol, optimized geometry)
data_Be2RhPb
_space_group_name_H-M_alt 'P 1'
_space_group_IT_number 1
_space_group_name_Hall 'P 1'
_cell_length_a 3.834
_cell_length_b 3.834
_cell_length_c 4.598
_cell_angle_alpha 114.64
_cell_angle_beta 114.64
_cell_angle_gamma 90.00
loop_
_atom_site_label
_atom_site_type_symbol
_atom_site_fract_x
_atom_site_fract_y
_atom_site_fract_z
Pb1 Pb 0.000 0.000 0.000
Be1 Be 0.750 0.250 0.500
Be2 Be 0.250 0.750 0.500
Rh1 Rh 0.500 0.500 0.000
# **Symmetry**: I4/mmm
# **Formation energy**: 0.215 eV/atom
# **M_tot**: 0.00 μB per formula unit